Record 1
{"formula": "K4MnIn", "functional": "GGA-PBEsol", "state": "optimized geometry", "lattice_angstrom": [[7.041, 0.000, 0.000], [3.520, 6.097, 0.000], [3.520, 2.032, 5.749]], "species": ["In", "K", "K", "K", "K", "Mn"], "fractional_positions": [[0.000, 0.000, 0.000], [0.375, 0.375, 0.375], [0.375, 0.375, 0.876], [0.876, 0.375, 0.375], [0.375, 0.876, 0.375], [0.750, 0.750, 0.750]], "m_tot_mub_per_cell": 4.34, "ef_ev_per_atom": 0.760}

Record 2
{"formula": "KMnIn2", "functional": "GGA-PBEsol", "state": "optimized geometry", "lattice_angstrom": [[3.676, 0.000, 0.000], [0.000, 3.676, 0.000], [0.000, 0.000, 8.189]], "species": ["In", "In", "K", "Mn"], "fractional_positions": [[0.000, 0.000, 0.951], [0.500, 0.500, 0.190], [0.000, 0.000, 0.509], [0.500, 0.500, 0.849]], "polymorph_energy_ev_per_fu": 0.300, "m_tot_mub_per_cell": 3.69, "ef_ev_per_atom": 0.378}

Record 3
{"formula": "KMnIn2", "functional": "GGA-PBEsol", "state": "optimized geometry", "lattice_angstrom": [[3.155, 0.000, 0.000], [0.000, 4.264, 0.000], [0.000, 0.000, 8.019]], "species": ["In", "In", "K", "Mn"], "fractional_positions": [[0.000, 0.000, 0.949], [0.500, 0.500, 0.194], [0.000, 0.000, 0.509], [0.500, 0.500, 0.848]], "polymorph_energy_ev_per_fu": 0.200, "m_tot_mub_per_cell": 3.88, "ef_ev_per_atom": 0.353}

Record 4
{"formula": "K2MnInRe", "functional": "GGA-PBEsol", "state": "optimized geometry", "lattice_angstrom": [[-3.846, -2.147, -2.491], [3.014, -5.613, 0.184], [-2.841, -1.344, 5.545]], "species": ["Re", "K", "K", "Mn", "In"], "fractional_positions": [[0.500, 0.500, 0.500], [0.000, 0.000, 0.500], [0.000, 0.500, 0.000], [0.500, 0.000, 0.000], [0.000, 0.000, 0.000]], "m_tot_mub_per_cell": 8.47, "ef_ev_per_atom": 2.030}

Record 5
{"formula": "KInMo", "functional": "GGA-PBEsol", "state": "optimized geometry", "lattice_angstrom": [[2.847, 0.161, 0.000], [-0.169, 2.846, 0.000], [-1.339, -1.504, 8.152]], "species": ["In", "K", "Mo"], "fractional_positions": [[0.016, 0.016, 0.031], [0.334, 0.334, 0.668], [0.650, 0.650, 0.301]], "m_tot_mub_per_cell": 0.00, "ef_ev_per_atom": 0.784}

Record 6
{"formula": "KIn2Mo", "functional": "GGA-PBEsol", "state": "optimized geometry", "lattice_angstrom": [[2.957, 0.000, 0.019], [0.000, 4.738, 0.000], [-0.066, 0.000, 8.016]], "species": ["In", "In", "K", "Mo"], "fractional_positions": [[0.874, 0.000, 0.897], [0.875, 0.500, 0.196], [0.377, 0.000, 0.506], [0.374, 0.500, 0.901]], "polymorph_energy_ev_per_fu": 0.000, "m_tot_mub_per_cell": 0.69, "ef_ev_per_atom": 0.494}

Record 7
{"formula": "KIn2Mo", "functional": "GGA-PBEsol", "state": "optimized geometry", "lattice_angstrom": [[2.969, 0.000, 0.000], [0.000, 2.969, 0.000], [0.000, 0.000, 10.411]], "species": ["In", "In", "K", "Mo"], "fractional_positions": [[0.000, 0.000, 0.981], [0.500, 0.500, 0.223], [0.000, 0.000, 0.511], [0.500, 0.500, 0.786]], "polymorph_energy_ev_per_fu": 0.572, "m_tot_mub_per_cell": 0.00, "ef_ev_per_atom": 0.637}

Record 8
{"formula": "K2InMo", "functional": "GGA-PBEsol", "state": "optimized geometry", "lattice_angstrom": [[3.050, 0.000, -0.049], [0.000, 4.567, 0.000], [-1.315, 0.000, 9.912]], "species": ["In", "K", "K", "Mo"], "fractional_positions": [[0.380, 0.500, 0.652], [0.040, 0.000, 0.925], [0.728, 0.500, 0.326], [0.852, 0.000, 0.597]], "m_tot_mub_per_cell": 1.75, "ef_ev_per_atom": 0.739}

Record 9
{"formula": "K2InMo", "functional": "GGA-PBEsol", "state": "optimized geometry", "lattice_angstrom": [[-3.178, -1.843, 1.001], [0.728, -2.673, -2.612], [5.202, -5.257, 6.831]], "species": ["In", "K", "K", "Mo"], "fractional_positions": [[0.500, 0.500, 0.651], [0.000, 0.000, 0.926], [0.500, 0.500, 0.322], [0.000, 0.000, 0.602]], "m_tot_mub_per_cell": 2.21, "ef_ev_per_atom": 0.741}

Record 10
{"formula": "K2InMo", "functional": "GGA-PBEsol", "state": "optimized geometry", "lattice_angstrom": [[-5.151, -0.132, -1.609], [2.782, -4.604, 0.526], [-1.168, -3.412, 4.017]], "species": ["In", "K", "K", "Mo"], "fractional_positions": [[0.250, 0.500, 0.250], [0.000, 0.000, 0.000], [0.750, 0.500, 0.750], [0.500, 0.000, 0.500]], "m_tot_mub_per_cell": 3.07, "ef_ev_per_atom": 1.077}

Record 11
{"formula": "KInMo2O8", "functional": "GGA-PBEsol", "state": "optimized geometry", "lattice_angstrom": [[5.875, 0.000, 0.000], [0.000, 8.812, 0.000], [0.000, 0.000, 14.808]], "species": ["K", "K", "K", "K", "In", "In", "In", "In", "Mo", "Mo", "Mo", "Mo", "Mo", "Mo", "Mo", "Mo", "O", "O", "O", "O", "O", "O", "O", "O", "O", "O", "O", "O", "O", "O", "O", "O", "O", "O", "O", "O", "O", "O", "O", "O", "O", "O", "O", "O", "O", "O", "O", "O"], "fractional_positions": [[0.250, 0.560, 0.374], [0.250, 0.940, 0.874], [0.750, 0.440, 0.626], [0.750, 0.060, 0.126], [0.250, 0.696, 0.108], [0.750, 0.196, 0.392], [0.250, 0.804, 0.608], [0.750, 0.304, 0.892], [0.250, 0.002, 0.281], [0.750, 0.998, 0.719], [0.750, 0.502, 0.219], [0.250, 0.215, 0.539], [0.750, 0.715, 0.961], [0.250, 0.285, 0.039], [0.750, 0.785, 0.461], [0.250, 0.498, 0.781], [0.750, 0.089, 0.827], [0.250, 0.589, 0.673], [0.250, 0.284, 0.647], [0.506, 0.789, 0.019], [0.750, 0.411, 0.327], [0.504, 0.109, 0.299], [0.494, 0.289, 0.481], [0.250, 0.640, 0.859], [0.506, 0.711, 0.519], [0.494, 0.211, 0.981], [0.750, 0.716, 0.353], [0.250, 0.911, 0.173], [0.004, 0.891, 0.701], [0.006, 0.211, 0.981], [0.750, 0.140, 0.641], [0.996, 0.109, 0.299], [0.994, 0.789, 0.019], [0.750, 0.515, 0.962], [0.250, 0.860, 0.359], [0.750, 0.985, 0.462], [0.504, 0.391, 0.799], [0.496, 0.891, 0.701], [0.250, 0.485, 0.038], [0.004, 0.609, 0.201], [0.750, 0.784, 0.853], [0.250, 0.015, 0.538], [0.006, 0.289, 0.481], [0.496, 0.609, 0.201], [0.250, 0.216, 0.147], [0.994, 0.711, 0.519], [0.996, 0.391, 0.799], [0.750, 0.360, 0.141]], "e_form_raw_ev_per_fu": -23.54, "m_tot_mub_per_cell": 0.00}

Record 12
{"formula": "K5InMo4O16", "functional": "GGA-PBEsol", "state": "optimized geometry", "lattice_angstrom": [[9.437, -0.035, 0.001], [1.754, 9.272, 0.001], [3.261, 2.692, 9.615]], "species": ["K", "K", "K", "K", "K", "K", "K", "K", "K", "K", "In", "In", "Mo", "Mo", "Mo", "Mo", "Mo", "Mo", "Mo", "Mo", "O", "O", "O", "O", "O", "O", "O", "O", "O", "O", "O", "O", "O", "O", "O", "O", "O", "O", "O", "O", "O", "O", "O", "O", "O", "O", "O", "O", "O", "O", "O", "O"], "fractional_positions": [[0.393, 0.608, 0.753], [0.608, 0.393, 0.253], [0.337, 0.077, 0.431], [0.077, 0.337, 0.931], [0.817, 0.620, 0.439], [0.620, 0.817, 0.939], [0.663, 0.924, 0.575], [0.924, 0.663, 0.075], [0.184, 0.380, 0.567], [0.380, 0.184, 0.067], [0.887, 0.114, 0.753], [0.114, 0.887, 0.253], [0.530, 0.262, 0.664], [0.262, 0.530, 0.164], [0.045, 0.778, 0.636], [0.778, 0.045, 0.136], [0.470, 0.739, 0.342], [0.739, 0.470, 0.842], [0.955, 0.222, 0.369], [0.222, 0.955, 0.869], [0.614, 0.428, 0.585], [0.428, 0.614, 0.085], [0.363, 0.294, 0.790], [0.294, 0.363, 0.290], [0.477, 0.212, 0.538], [0.212, 0.477, 0.038], [0.665, 0.120, 0.737], [0.120, 0.665, 0.237], [0.216, 0.844, 0.603], [0.844, 0.216, 0.103], [0.006, 0.805, 0.473], [0.805, 0.006, 0.973], [0.902, 0.885, 0.738], [0.885, 0.902, 0.238], [0.062, 0.588, 0.721], [0.588, 0.062, 0.221], [0.387, 0.572, 0.421], [0.572, 0.387, 0.921], [0.637, 0.706, 0.215], [0.706, 0.637, 0.715], [0.524, 0.788, 0.467], [0.788, 0.524, 0.967], [0.336, 0.880, 0.268], [0.880, 0.336, 0.768], [0.785, 0.157, 0.403], [0.157, 0.785, 0.903], [0.995, 0.196, 0.533], [0.196, 0.995, 0.033], [0.099, 0.116, 0.268], [0.116, 0.099, 0.768], [0.939, 0.413, 0.285], [0.413, 0.939, 0.785]], "e_form_raw_ev_per_fu": -53.52, "m_tot_mub_per_cell": 0.03}